# 1
# MgScBeZn, optimized geometry, DFT GGA-PBE
data_MgScBeZn
_chemical_formula_sum 'Mg4 Sc4 Be4 Zn4'
_symmetry_space_group_name_H-M 'F -4 3 m'
_symmetry_Int_Tables_number 216
_symmetry_space_group_name_Hall 'F -4 2 3'
_cell_length_a 6.344
_cell_length_b 6.344
_cell_length_c 6.344
_cell_angle_alpha 90.00
_cell_angle_beta 90.00
_cell_angle_gamma 90.00
loop_
_atom_site_label
_atom_site_type_symbol
_atom_site_fract_x
_atom_site_fract_y
_atom_site_fract_z
Mg1 Mg 0.000 0.000 0.000
Sc1 Sc 0.250 0.250 0.250
Be1 Be 0.000 0.000 0.500
Zn1 Zn 0.250 0.250 0.750
# energy above the most stable polymorph in this dataset	154.5	meV/atom

=====

# 2
# MgScBeZn, optimized geometry, DFT GGA-PBE
data_MgScBeZn
_chemical_formula_sum 'Mg4 Sc4 Be4 Zn4'
_symmetry_space_group_name_H-M 'F -4 3 m'
_symmetry_Int_Tables_number 216
_symmetry_space_group_name_Hall 'F -4 2 3'
_cell_length_a 6.362
_cell_length_b 6.362
_cell_length_c 6.362
_cell_angle_alpha 90.00
_cell_angle_beta 90.00
_cell_angle_gamma 90.00
loop_
_atom_site_label
_atom_site_type_symbol
_atom_site_fract_x
_atom_site_fract_y
_atom_site_fract_z
Mg1 Mg 0.000 0.000 0.000
Sc1 Sc 0.250 0.250 0.250
Be1 Be 0.250 0.250 0.750
Zn1 Zn 0.000 0.000 0.500
# energy above the most stable polymorph in this dataset	159.7	meV/atom